Computed, not measured: a relaxed structure of YMg2GaH at the PBE level of DFT.

The space group is P4/mmm (No. 123) and the conventional cell measures 4.436, 4.436 and 4.503 Å, with angles of 90.00, 90.00 and 90.00 degrees. The distinct sites, in fractional coordinates, are Y at (0.000, 0.000, 0.000), Mg at (0.000, 0.500, 0.500), Ga at (0.500, 0.500, 0.000) and H at (0.000, 0.000, 0.500).

The calculation puts the calculated total energy at -3.52 eV per atom. The density comes out at 3.903 g/cm3.